Density functional theory data (PBE-GGA) for an optimized crystal structure of YMgI2O.

- V: 32.67 Å³ per atom
- Offset from the most stable computed form: 0.000 eV/atom
- Total moment: 0.099 μB per atom
- Raw formation energy: -1.265 eV/atom

Lattice parameters (Å, degrees): 6.239 6.239 4.196 90.00 90.00 90.00
Each line ends with the local moment (μB).
Fractional positions:
Y 0.000 0.000 0.000  0.00
Mg 0.500 0.500 0.500  0.09
I 0.500 0.000 0.000  0.03
I 0.000 0.500 0.000  0.03
O 0.000 0.000 0.500  0.00